Record 1
Density functional theory data (PBE) for a relaxed structure of Li2GeBi2.

Structure (POSCAR):
```
Li2GeBi2
1.0
8.577 0.000 0.000
0.000 8.577 0.000
0.000 0.000 3.224
Ge Bi Li
2 4 4
Direct
0.000 0.000 0.000
0.500 0.500 0.000
0.323 0.823 0.000
0.823 0.677 0.000
0.677 0.177 0.000
0.177 0.323 0.000
0.120 0.620 0.500
0.620 0.880 0.500
0.880 0.380 0.500
0.380 0.120 0.500
```

Formation energy, meV/atom: -142
Energy relative to the lowest polymorph listed for this composition, meV/atom: 0
Magnetic moment, μB/cell: 0.00
VASP energy, eV/atom: -3.38
Fermi-level density of states, states/eV/atom: 0.282

***

Record 2
Density functional theory data (PBE) for a relaxed structure of LaBe2BRh.

Structure (POSCAR):
```
LaBe2BRh
1.0
-3.396 -2.448 -0.619
1.727 -1.113 -5.071
2.143 -3.343 1.463
Be B Rh La
2 1 1 1
Direct
0.000 0.000 0.500
0.500 0.000 0.000
0.500 0.500 0.500
0.000 0.000 0.000
0.000 0.500 0.000
```

Formation energy, meV/atom: 670
Magnetic moment, μB/cell: 0.00
VASP energy, eV/atom: -4.61
Fermi-level density of states, states/eV/atom: 0.844